VASP calculation (PBE-GGA) on ThCu5Pt7 after structural relaxation.

For the electronic total energy, the calculation gives -5.812 eV/atom. The value obtained for the formation enthalpy at 0 K is -0.414 eV/atom.

The space group is Imm2 (No. 44) and the conventional cell measures 5.0902, 8.8346 and 8.9427 Å, with angles of 90.00, 90.00 and 90.00 degrees. Symmetry generates all atoms from Th at (0.0000, 0.0000, 0.0000), Cu at (0.0000, 0.5000, 0.2651), Cu at (0.2479, 0.2545, 0.2458), Pt at (0.0000, 0.0000, 0.3433), Pt at (0.0000, 0.0000, 0.6571), Pt at (0.0000, 0.2857, 0.4938), Pt at (0.0000, 0.3425, 0.9960) and Pt at (0.0000, 0.5000, 0.7199).